Here is a PBEsol-optimized structure of MoSI2 from the Alexandria database. Energies are from meta-GGA SCAN.

```
MoSI2
1.0
-1.850 -1.895 4.119
-3.583 -3.330 -0.230
0.914 -4.665 1.175
I S Mo
2 1 1
direct
0.750 0.750 0.750 I
0.250 0.250 0.250 I
0.000 0.000 0.000 S
0.500 0.500 0.500 Mo
```

## Properties
Calculated volume = 83.02 Å³ per cell
Energy = -114.07 eV per cell
M_tot = 2.0 μB per formula unit
Formation energy (no corrections) = 982 meV per atom
Crystal system = cubic

Here is a PBEsol-optimized structure of KI from the Alexandria database. Energies are from meta-GGA SCAN.

```
KI
1.0
-0.866 4.097 -0.526
-2.647 -0.138 3.285
3.171 1.004 2.598
I K
1 1
direct
0.500 0.500 0.500 I
0.000 0.000 0.000 K
```

## Properties
Calculated volume = 75.18 Å³ per cell
Energy = -48.26 eV per cell
M_tot = 0.0 μB per formula unit
Formation energy (no corrections) = -1593 meV per atom
Crystal system = cubic

Here is a PBEsol-optimized structure of Na2YTaFe from the Alexandria database. Energies are from meta-GGA SCAN.

```
Na2YTaFe
1.0
4.318 0.000 0.000
0.000 5.413 0.000
0.000 0.000 5.413
Na Fe Ta Y
2 1 1 1
direct
0.000 0.500 0.000 Na
0.000 0.000 0.500 Na
0.500 0.000 0.000 Fe
0.000 0.000 0.000 Ta
0.500 0.500 0.500 Y
```

## Properties
Calculated volume = 126.50 Å³ per cell
Energy = -114.61 eV per cell
DFT formation energy = 1.275 eV/atom
M_tot = 1.0 μB per formula unit
Crystal system = tetragonal

Here is a PBEsol-optimized structure of RbZrCoPt2 from the Alexandria database. Energies are from meta-GGA SCAN.

```
RbZrCoPt2
1.0
-4.192 0.156 -1.356
-0.890 -4.219 2.265
-1.217 2.428 4.043
Co Pt Zr Rb
1 2 1 1
direct
0.000 0.000 0.000 Co
0.000 0.500 0.000 Pt
0.000 0.000 0.500 Pt
0.500 0.000 0.000 Zr
0.500 0.500 0.500 Rb
```

## Properties
Calculated volume = 104.58 Å³ per cell
Energy = -207.55 eV per cell
DFT formation energy = 0.315 eV/atom
M_tot = 1.4 μB per formula unit
Crystal system = tetragonal

Here is a PBEsol-optimized structure of LaSiAs3 from the Alexandria database. Energies are from meta-GGA SCAN.

```
LaSiAs3
1.0
-5.666 1.220 -1.062
-1.528 -5.515 1.814
-2.706 8.840 24.596
Si As La
8 24 8
direct
0.835 0.933 0.795 Si
0.833 0.387 0.207 Si
0.335 0.567 0.295 Si
0.333 0.613 0.793 Si
0.335 0.067 0.205 Si
0.833 0.887 0.293 Si
0.333 0.113 0.707 Si
0.835 0.433 0.705 Si
0.741 0.486 0.124 As
0.462 0.710 0.001 As
0.231 0.445 0.213 As
0.029 0.211 0.499 As
0.529 0.289 0.999 As
0.029 0.711 0.001 As
0.233 0.992 0.791 As
0.233 0.492 0.709 As
0.731 0.055 0.713 As
0.740 0.024 0.878 As
0.240 0.476 0.378 As
0.733 0.508 0.291 As
0.240 0.976 0.122 As
0.462 0.210 0.499 As
0.740 0.524 0.622 As
0.529 0.789 0.501 As
0.241 0.514 0.876 As
0.741 0.986 0.376 As
0.731 0.555 0.787 As
0.962 0.290 0.999 As
0.962 0.790 0.501 As
0.231 0.945 0.287 As
0.241 0.014 0.624 As
0.733 0.008 0.209 As
0.243 0.979 0.405 La
0.743 0.982 0.089 La
0.243 0.518 0.589 La
0.243 0.479 0.095 La
0.243 0.018 0.911 La
0.743 0.521 0.905 La
0.743 0.482 0.411 La
0.743 0.021 0.595 La
```

## Properties
Calculated volume = 929.42 Å³ per cell
Energy = -940.06 eV per cell
M_tot = 0.0 μB per formula unit
Formation energy (no corrections) = -763 meV per atom
Crystal system = orthorhombic
Offset from the most stable computed form = 0.000 eV per atom

Here is a PBEsol-optimized structure of MnCSO7 from the Alexandria database. Energies are from meta-GGA SCAN.

```
MnCSO7
1.0
-2.722 -1.387 4.022
4.081 -4.373 1.254
4.483 5.309 3.925
O C Mn S
14 2 2 2
direct
0.057 0.750 0.096 O
0.805 0.561 0.691 O
0.476 0.750 0.170 O
0.658 0.250 0.112 O
0.552 0.250 0.478 O
0.805 0.939 0.691 O
0.943 0.250 0.904 O
0.889 0.750 0.432 O
0.342 0.750 0.888 O
0.195 0.439 0.309 O
0.448 0.750 0.522 O
0.111 0.250 0.568 O
0.195 0.061 0.309 O
0.524 0.250 0.830 O
0.704 0.250 0.966 C
0.296 0.750 0.034 C
0.214 0.750 0.313 Mn
0.786 0.250 0.687 Mn
0.263 0.250 0.421 S
0.737 0.750 0.579 S
```

## Properties
Calculated volume = 245.25 Å³ per cell
Energy = -193.43 eV per cell
M_tot = 3.0 μB per formula unit
Formation energy (no corrections) = -1511 meV per atom
Crystal system = monoclinic

Here is a PBEsol-optimized structure of TeIr2Rh from the Alexandria database. Energies are from meta-GGA SCAN.

```
TeIr2Rh
1.0
2.903 0.000 0.000
0.000 3.814 0.000
0.000 0.000 5.713
Ir Te Rh
2 1 1
direct
0.000 0.000 0.031 Ir
0.500 0.500 0.244 Ir
0.500 0.500 0.734 Te
0.000 0.000 0.492 Rh
```

## Properties
Calculated volume = 63.24 Å³ per cell
Energy = -211.84 eV per cell
M_tot = 0.0 μB per formula unit
Formation energy (no corrections) = 344 meV per atom
Crystal system = orthorhombic

Here is a PBEsol-optimized structure of TaBRhPb2 from the Alexandria database. Energies are from meta-GGA SCAN.

```
TaBRhPb2
1.0
-1.734 3.198 -1.177
-2.273 -2.671 -3.910
-4.093 -1.073 3.113
Pb B Ta Rh
2 1 1 1
direct
0.000 0.500 0.000 Pb
0.000 0.000 0.500 Pb
0.500 0.000 0.000 B
0.500 0.500 0.500 Ta
0.000 0.000 0.000 Rh
```

## Properties
Calculated volume = 105.50 Å³ per cell
Energy = -253.82 eV per cell
DFT formation energy = 1.105 eV/atom
M_tot = 0.0 μB per formula unit
Crystal system = tetragonal